No. 1
A plane-wave DFT calculation with PBE was carried out for a relaxed H4PbC2O6 crystal.

CIF file:
```
data_H4PbC2O6
_chemical_formula_sum 'H16 Pb4 C8 O24'
_space_group_name_H-M_alt 'P 1'
_space_group_IT_number 1
_cell_length_a 7.8475
_cell_length_b 8.0542
_cell_length_c 9.4195
_cell_angle_alpha 90.00
_cell_angle_beta 90.00
_cell_angle_gamma 90.00
loop_
_space_group_symop_operation_xyz
'x,y,z'
loop_
_atom_site_label
_atom_site_type_symbol
_atom_site_fract_x
_atom_site_fract_y
_atom_site_fract_z
O1 O 0.0753 0.6637 0.9459
H1 H 0.6528 0.6695 0.5865
H2 H 0.6501 0.9375 0.8266
O2 O 0.5758 0.3680 0.7168
O3 O 0.7500 0.5149 0.3750
Pb1 Pb 0.2500 0.4710 0.1034
H3 H 0.1501 0.0625 0.1734
C1 C 0.1505 0.7654 0.8639
O4 O 0.7500 0.7797 0.1348
H4 H 0.1528 0.1695 0.9135
H5 H 0.1501 0.4375 0.6734
O5 O 0.9247 0.1637 0.5541
O6 O 0.9247 0.3363 0.0541
O7 O 0.9242 0.1320 0.2168
H6 H 0.8472 0.8305 0.0865
O8 O 0.5758 0.1320 0.2168
H7 H 0.8499 0.5625 0.3266
O9 O 0.2500 0.0149 0.1250
H8 H 0.3499 0.0625 0.1734
O10 O 0.2500 0.2203 0.8652
O11 O 0.0758 0.8680 0.7832
H9 H 0.3499 0.4375 0.6734
Pb2 Pb 0.7500 0.9710 0.3966
O12 O 0.5753 0.1637 0.5541
O13 O 0.4247 0.8363 0.4459
H10 H 0.6528 0.8305 0.0865
O14 O 0.0758 0.6320 0.2832
H11 H 0.1528 0.3305 0.4135
C2 C 0.8495 0.2346 0.1361
O15 O 0.4247 0.6637 0.9459
O16 O 0.9242 0.3680 0.7168
H12 H 0.3472 0.1695 0.9135
O17 O 0.2500 0.2797 0.3652
H13 H 0.8499 0.9375 0.8266
O18 O 0.4242 0.6320 0.2832
Pb3 Pb 0.7500 0.5290 0.8966
Pb4 Pb 0.2500 0.0290 0.6034
C3 C 0.3495 0.7654 0.8639
C4 C 0.6505 0.2654 0.6361
O19 O 0.2500 0.4851 0.6250
O20 O 0.4242 0.8680 0.7832
H14 H 0.6501 0.5625 0.3266
C5 C 0.6505 0.2346 0.1361
O21 O 0.5753 0.3363 0.0541
O22 O 0.7500 0.9851 0.8750
O23 O 0.0753 0.8363 0.4459
H15 H 0.8472 0.6695 0.5865
C6 C 0.3495 0.7346 0.3639
C7 C 0.8495 0.2654 0.6361
H16 H 0.3472 0.3305 0.4135
C8 C 0.1505 0.7346 0.3639
O24 O 0.7500 0.7203 0.6348
```

Summary:
Total DFT energy (no corrections), Ry/atom: -0.4512
Density of states at the Fermi level, states/eV/f.u.: 0.00

No. 2
A plane-wave DFT calculation with PBE was carried out for a relaxed SrSc2Ir2 crystal.

CIF file:
```
data_SrSc2Ir2
_chemical_formula_sum 'Sr1 Sc2 Ir2'
_space_group_name_H-M_alt 'P 1'
_space_group_IT_number 1
_cell_length_a 4.4234
_cell_length_b 4.4234
_cell_length_c 6.5756
_cell_angle_alpha 70.35
_cell_angle_beta 70.35
_cell_angle_gamma 90.00
loop_
_space_group_symop_operation_xyz
'x,y,z'
loop_
_atom_site_label
_atom_site_type_symbol
_atom_site_fract_x
_atom_site_fract_y
_atom_site_fract_z
Ir1 Ir 0.3874 0.3874 0.2251
Sc1 Sc 0.7500 0.2500 0.5000
Ir2 Ir 0.6126 0.6126 0.7749
Sr1 Sr 0.0000 0.0000 0.0000
Sc2 Sc 0.2500 0.7500 0.5000
```

Summary:
Total DFT energy (no corrections), Ry/atom: -0.5233
Density of states at the Fermi level, states/eV/f.u.: 1.13
Distance to the lowest polymorph of the same formula, meV per atom: 0
Calculated formation energy, eV per formula unit: -3.529

No. 3
A plane-wave DFT calculation with PBE was carried out for a relaxed ThUSb2 crystal.

CIF file:
```
data_ThUSb2
_chemical_formula_sum 'Th1 U1 Sb2'
_space_group_name_H-M_alt 'P 1'
_space_group_IT_number 1
_cell_length_a 3.7733
_cell_length_b 3.7733
_cell_length_c 7.6809
_cell_angle_alpha 90.00
_cell_angle_beta 90.00
_cell_angle_gamma 90.00
loop_
_space_group_symop_operation_xyz
'x,y,z'
loop_
_atom_site_label
_atom_site_type_symbol
_atom_site_fract_x
_atom_site_fract_y
_atom_site_fract_z
Th1 Th 0.5000 0.5000 0.5000
Sb1 Sb 0.0000 0.0000 0.2410
Sb2 Sb 0.0000 0.0000 0.7590
U1 U 0.5000 0.5000 0.0000
```

Summary:
Total DFT energy (no corrections), Ry/atom: -0.5308
Density of states at the Fermi level, states/eV/f.u.: 5.52
Distance to the lowest polymorph of the same formula, meV per atom: 57
Raw formation energy, eV per atom: -0.4836

No. 4
A plane-wave DFT calculation with PBE was carried out for a relaxed Re2PtBr crystal.

CIF file:
```
data_Re2PtBr
_chemical_formula_sum 'Re2 Pt1 Br1'
_space_group_name_H-M_alt 'P 1'
_space_group_IT_number 1
_cell_length_a 2.8990
_cell_length_b 2.8896
_cell_length_c 8.4474
_cell_angle_alpha 90.16
_cell_angle_beta 90.00
_cell_angle_gamma 90.00
loop_
_space_group_symop_operation_xyz
'x,y,z'
loop_
_atom_site_label
_atom_site_type_symbol
_atom_site_fract_x
_atom_site_fract_y
_atom_site_fract_z
Pt1 Pt 0.5000 0.4972 0.7934
Re1 Re 0.0000 0.9990 0.0174
Br1 Br 0.0000 0.5031 0.4705
Re2 Re 0.5000 0.5006 0.2186
```

Summary:
Total DFT energy (no corrections), Ry/atom: -0.5711
Density of states at the Fermi level, states/eV/f.u.: 4.74
Distance to the lowest polymorph of the same formula, meV per atom: 0
Raw formation energy, eV per atom: 0.3817